Material: PrSmP2Pd2
Method: DFT, PBE-GGA
State: relaxed

abc: 4.2337 4.2337 7.8293
angles: 90.00 90.00 120.00
Last column: nearest neighbours and their distance in Å.
Element x y z (fractional)
Pr1 0.0000 0.0000 0.0000  6 P 3.16, 6 Pd 3.16
Sm1 0.0000 0.0000 0.5000  6 Pd 3.10, 6 P 3.11
P1 0.3333 0.6667 0.2550  3 Pd 2.44
P2 0.6667 0.3333 0.7450  3 Pd 2.44
Pd1 0.3333 0.6667 0.7445  3 P 2.44
Pd2 0.6667 0.3333 0.2555  3 P 2.44

Calculated density = 7.73 g cm⁻³
Formation enthalpy at 0 K = -1.237 eV/atom
Final energy = -6.355 eV/atom
SG = P-3m1